Compound: MgCo
Source: Alexandria via LeMat-Bulk
Functional: GGA-PBE
Structure: optimized geometry

Cell and atoms, written as POSCAR:
```
MgCo
1.0
-3.892 3.892 3.892
3.892 -3.892 3.892
3.892 3.892 -3.892
Mg Co
4 4
Direct
0.000 0.000 0.586
0.000 0.586 0.000
0.414 0.414 0.414
0.586 0.000 0.000
0.000 0.000 0.206
0.000 0.206 0.000
0.206 0.000 0.000
0.794 0.794 0.794
```

- Mass density: 2.345 Mg/m³
- Space-group type: I-43m, No. 217
- M_tot: 1.33 μB/f.u.
- Energy of formation: 83.77 kJ/mol of atoms